# AcY2BiO8 (GGA-PBE, relaxed)
data_AcY2BiO8
_symmetry_space_group_name_H-M 'P 1 2/m 1'
_symmetry_Int_Tables_number 10
_cell_length_a 4.034
_cell_length_b 7.976
_cell_length_c 5.345
_cell_angle_alpha 90.00
_cell_angle_beta 92.25
_cell_angle_gamma 90.00
loop_
_symmetry_equiv_pos_as_xyz
'x,y,z'
'-x,-y,-z'
'-x,y,-z'
'x,-y,z'
loop_
_atom_site_label
_atom_site_type_symbol
_atom_site_fract_x
_atom_site_fract_y
_atom_site_fract_z
Ac1 Ac 0.000 0.000 0.000
Y1 Y 0.500 0.265 0.500
Bi1 Bi 0.000 0.500 0.000
O1 O 0.019 0.277 0.748
O2 O 0.470 0.500 0.235
O3 O 0.499 0.000 0.715
# Total moment in Bohr magnetons per cell: 2.0
# Total energy in eV per atom: -7.3265


# Fe2RhW (GGA-PBE, relaxed)
data_Fe2RhW
_symmetry_space_group_name_H-M 'I -4 m 2'
_symmetry_Int_Tables_number 119
_symmetry_space_group_name_Hall 'I -4 -2'
_cell_length_a 3.724
_cell_length_b 3.724
_cell_length_c 7.621
_cell_angle_alpha 90.00
_cell_angle_beta 90.00
_cell_angle_gamma 90.00
loop_
_atom_site_label
_atom_site_type_symbol
_atom_site_fract_x
_atom_site_fract_y
_atom_site_fract_z
Fe1 Fe 0.000 0.000 0.000
Fe2 Fe 0.000 0.500 0.250
Rh1 Rh 0.000 0.000 0.500
W1 W 0.000 0.500 0.750
# Polymorph energy (0 for the lowest one) in eV/f.u.: 0.00
# Total moment in Bohr magnetons per cell: 6.9
# DFT formation energy in eV per atom: -0.008


# KFe3Mo (GGA-PBE, relaxed)
data_KFe3Mo
_symmetry_space_group_name_H-M 'P m -3 m'
_symmetry_Int_Tables_number 221
_symmetry_space_group_name_Hall '-P 4 2 3'
_cell_length_a 4.726
_cell_length_b 4.726
_cell_length_c 4.726
_cell_angle_alpha 90.00
_cell_angle_beta 90.00
_cell_angle_gamma 90.00
loop_
_atom_site_label
_atom_site_type_symbol
_atom_site_fract_x
_atom_site_fract_y
_atom_site_fract_z
K1 K 0.000 0.000 0.000
Fe1 Fe 0.000 0.500 0.500
Mo1 Mo 0.500 0.500 0.500
# Polymorph energy (0 for the lowest one) in eV/f.u.: 0.00
# Total moment in Bohr magnetons per cell: 6.7
# DFT formation energy in eV per atom: 1.393


# MgIn2Hg6Pb (GGA-PBE, relaxed)
data_MgIn2Hg6Pb
_symmetry_space_group_name_H-M 'C 1 2/m 1'
_symmetry_Int_Tables_number 12
_cell_length_a 14.822
_cell_length_b 7.831
_cell_length_c 4.820
_cell_angle_alpha 90.00
_cell_angle_beta 107.96
_cell_angle_gamma 90.00
loop_
_symmetry_equiv_pos_as_xyz
'x,y,z'
'-x,-y,-z'
'-x,y,-z'
'x,-y,z'
'x+1/2,y+1/2,z'
'-x+1/2,-y+1/2,-z'
'-x+1/2,y+1/2,-z'
'x+1/2,-y+1/2,z'
loop_
_atom_site_label
_atom_site_type_symbol
_atom_site_fract_x
_atom_site_fract_y
_atom_site_fract_z
Mg1 Mg 0.000 0.000 0.000
In1 In 0.235 0.500 0.739
Hg1 Hg 0.120 0.000 0.619
Hg2 Hg 0.124 0.302 0.124
Pb1 Pb 0.000 0.500 0.500
# Total moment in Bohr magnetons per cell: 0.0
# DFT formation energy in eV per atom: -0.002


# GeHSe (GGA-PBE, relaxed)
data_GeHSe
_symmetry_space_group_name_H-M 'C 1 2/m 1'
_symmetry_Int_Tables_number 12
_cell_length_a 11.508
_cell_length_b 3.299
_cell_length_c 7.269
_cell_angle_alpha 90.00
_cell_angle_beta 128.36
_cell_angle_gamma 90.00
loop_
_symmetry_equiv_pos_as_xyz
'x,y,z'
'-x,-y,-z'
'-x,y,-z'
'x,-y,z'
'x+1/2,y+1/2,z'
'-x+1/2,-y+1/2,-z'
'-x+1/2,y+1/2,-z'
'x+1/2,-y+1/2,z'
loop_
_atom_site_label
_atom_site_type_symbol
_atom_site_fract_x
_atom_site_fract_y
_atom_site_fract_z
Ge1 Ge 0.232 0.000 0.197
H1 H 0.227 0.000 0.660
Se1 Se 0.064 0.500 0.831
# Polymorph energy (0 for the lowest one) in eV/f.u.: 0.78
# Total moment in Bohr magnetons per cell: 0.0


# Hf2AlI4 (GGA-PBE, relaxed)
data_Hf2AlI4
_symmetry_space_group_name_H-M 'I 4/m m m'
_symmetry_Int_Tables_number 139
_symmetry_space_group_name_Hall '-I 4 2'
_cell_length_a 5.952
_cell_length_b 5.952
_cell_length_c 14.395
_cell_angle_alpha 90.00
_cell_angle_beta 90.00
_cell_angle_gamma 90.00
loop_
_atom_site_label
_atom_site_type_symbol
_atom_site_fract_x
_atom_site_fract_y
_atom_site_fract_z
Hf1 Hf 0.000 0.000 0.089
Al1 Al 0.000 0.000 0.500
I1 I 0.000 0.000 0.292
I2 I 0.000 0.500 0.000
# Total moment in Bohr magnetons per cell: 1.7
# Total energy in eV per atom: -3.8899


# La4PrRu (GGA-PBE, relaxed)
data_La4PrRu
_symmetry_space_group_name_H-M 'C 1 2/m 1'
_symmetry_Int_Tables_number 12
_cell_length_a 17.942
_cell_length_b 7.685
_cell_length_c 6.173
_cell_angle_alpha 90.00
_cell_angle_beta 110.10
_cell_angle_gamma 90.00
loop_
_symmetry_equiv_pos_as_xyz
'x,y,z'
'-x,-y,-z'
'-x,y,-z'
'x,-y,z'
'x+1/2,y+1/2,z'
'-x+1/2,-y+1/2,-z'
'-x+1/2,y+1/2,-z'
'x+1/2,-y+1/2,z'
loop_
_atom_site_label
_atom_site_type_symbol
_atom_site_fract_x
_atom_site_fract_y
_atom_site_fract_z
La1 La 0.000 0.207 0.000
La2 La 0.112 0.256 0.612
La3 La 0.171 0.500 0.171
Pr1 Pr 0.200 0.000 0.199
Ru1 Ru 0.000 0.500 0.254
# Polymorph energy (0 for the lowest one) in eV/f.u.: 0.00
# Total moment in Bohr magnetons per cell: 0.0
# DFT formation energy in eV per atom: -0.092


# CoW3 (GGA-PBE, relaxed)
data_CoW3
_symmetry_space_group_name_H-M 'P 4/m m m'
_symmetry_Int_Tables_number 123
_symmetry_space_group_name_Hall '-P 4 2'
_cell_length_a 4.323
_cell_length_b 4.323
_cell_length_c 3.211
_cell_angle_alpha 90.00
_cell_angle_beta 90.00
_cell_angle_gamma 90.00
loop_
_atom_site_label
_atom_site_type_symbol
_atom_site_fract_x
_atom_site_fract_y
_atom_site_fract_z
Co1 Co 0.000 0.000 0.000
W1 W 0.000 0.500 0.500
W2 W 0.500 0.500 0.000
# Polymorph energy (0 for the lowest one) in eV/f.u.: 0.48
# Total moment in Bohr magnetons per cell: 1.7
# DFT formation energy in eV per atom: 0.204


Q: Among the records above, which one has the highest total moment?
A: Fe2RhW


Q: The highest total moment belongs to which entry?
A: Fe2RhW